Entry from the Alexandria database: MnCuRu2 after structural relaxation (PBE).

Unit cell a=6.7284 b=6.7284 c=5.3922 alpha=51.40 beta=51.40 gamma=90.00
Fractional positions:
Cu 0.0000 0.0000 0.0000
Cu 0.7500 0.2500 0.5000
Ru 0.8750 0.8247 0.7500
Ru 0.1753 0.6250 0.2500
Ru 0.3750 0.4253 0.7500
Ru 0.5747 0.1250 0.2500
Mn 0.5000 0.5000 0.0000
Mn 0.2500 0.7500 0.5000

**ΔH_f (0 K)**: 612.1 meV/atom

Entry from the Alexandria database: RbHgHOs2 after structural relaxation (PBE).

Unit cell a=5.6386 b=3.3162 c=5.6386 alpha=90.00 beta=90.00 gamma=90.00
Fractional positions:
Os 0.5000 0.0000 0.0000
Os 0.0000 0.0000 0.5000
Rb 0.5000 0.5000 0.5000
Hg 0.0000 0.0000 0.0000
H 0.0000 0.5000 0.0000

**DFT total energy**: -16.06 eV per cell

Entry from the Alexandria database: LiRe2 after structural relaxation (PBE).

Unit cell a=4.1180 b=4.1180 c=2.5416 alpha=90.00 beta=90.00 gamma=90.00
Fractional positions:
Re 0.0000 0.5000 0.5000
Re 0.5000 0.0000 0.5000
Li 0.0000 0.0000 0.0000

**ΔE to the lowest computed polymorph**: 1216 meV/atom
**ΔH_f (0 K)**: 1312.5 meV/atom